## Na2Tl2CoO6 (PBE+U)

Data for an optimized crystal structure of Na2Tl2CoO6.

The value obtained for the density of states at the Fermi level is 1.958 states/eV/cell. The calculation puts the electronic total energy at -4.7663 eV per atom. The value obtained for the spin magnetization is 1.039 μB per formula unit.

The structure belongs to space group C2/m (No. 12); the cell edges are 5.7024, 9.6804 and 5.8390 Å and the angles 90.00°, 106.19° and 90.00°. The asymmetric unit holds Na at (0.0000, 0.1532, 0.0000), Tl at (0.0000, 0.3359, 0.5000), Co at (0.0000, 0.0000, 0.5000), O at (0.1955, 0.1439, 0.6947) and O at (0.2203, 0.0000, 0.3062).